#A
Compound: PrErAs2
Source: Alexandria
Functional: PBE
Structure: relaxed Values from VASP.

The structure in Quantum ESPRESSO input format:
```
&SYSTEM
  ibrav = 0, nat = 4, ntyp = 3
/
ATOMIC_SPECIES
As 74.92 As.upf
Pr 140.91 Pr.upf
Er 167.26 Er.upf
ATOMIC_POSITIONS angstrom
As 2.091 1.216 1.627
As 6.272 3.647 5.255
Pr 4.181 2.431 3.441
Er 0.000 0.000 0.000
CELL_PARAMETERS angstrom
4.200 0.012 0.016
2.088 3.645 0.016
2.074 1.206 6.851
```

* size of the total moment: 0.0 μB/f.u.



#B
Compound: PrErAs2
Source: Alexandria
Functional: PBE
Structure: relaxed Values from VASP.

The structure in Quantum ESPRESSO input format:
```
&SYSTEM
  ibrav = 0, nat = 4, ntyp = 3
/
ATOMIC_SPECIES
Er 167.26 Er.upf
Pr 140.91 Pr.upf
As 74.92 As.upf
ATOMIC_POSITIONS angstrom
Er 4.163 2.403 3.615
Pr 6.244 3.605 7.082
As 2.081 1.202 5.289
As 2.081 1.202 1.857
CELL_PARAMETERS angstrom
4.163 0.000 0.000
2.081 3.605 0.000
2.081 1.202 7.137
```

* size of the total moment: 0.0 μB/f.u.



Which structure loses on stability? #B does.



#A
Compound: ErPuAs
Source: Alexandria
Functional: PBE
Structure: relaxed Values from VASP.

The structure in Quantum ESPRESSO input format:
```
&SYSTEM
  ibrav = 0, nat = 3, ntyp = 3
/
ATOMIC_SPECIES
Er 167.26 Er.upf
Pu 244.00 Pu.upf
As 74.92 As.upf
ATOMIC_POSITIONS angstrom
Er -1.985 2.913 -2.160
Pu -2.791 0.968 0.421
As -0.314 3.642 -0.050
CELL_PARAMETERS angstrom
-0.342 3.963 -0.054
-0.749 -0.129 -4.672
-3.658 -0.274 2.991
```

* size of the total moment: 6.5 μB/f.u.



#B
Compound: ErPuAs
Source: Alexandria
Functional: PBE
Structure: relaxed Values from VASP.

The structure in Quantum ESPRESSO input format:
```
&SYSTEM
  ibrav = 0, nat = 3, ntyp = 3
/
ATOMIC_SPECIES
Er 167.26 Er.upf
Pu 244.00 Pu.upf
As 74.92 As.upf
ATOMIC_POSITIONS angstrom
Er -1.245 2.781 1.463
Pu -0.099 0.220 0.116
As -2.833 0.271 1.523
CELL_PARAMETERS angstrom
-3.260 -0.649 -1.542
-0.987 -1.979 2.922
0.071 5.899 1.722
```

* size of the total moment: 6.1 μB/f.u.



Which structure loses on stability? #A does.



#A
Compound: ErAs2Rh4
Source: Alexandria
Functional: PBE
Structure: relaxed Values from VASP.

The structure in Quantum ESPRESSO input format:
```
&SYSTEM
  ibrav = 0, nat = 28, ntyp = 3
/
ATOMIC_SPECIES
As 74.92 As.upf
Rh 102.91 Rh.upf
Er 167.26 Er.upf
ATOMIC_POSITIONS angstrom
As -4.242 -2.786 3.861
As -7.391 -4.706 11.672
As -7.408 -0.226 14.816
As -3.729 1.133 2.727
As -6.879 -0.787 10.537
As -5.817 -3.756 7.732
As -5.304 0.184 6.667
As -3.713 -3.346 -0.417
Rh -6.565 -2.554 3.186
Rh -6.376 0.548 12.746
Rh -2.797 1.742 0.551
Rh -8.332 -2.476 11.444
Rh -4.482 -2.394 6.262
Rh -4.555 -1.019 11.213
Rh -8.324 -5.314 13.848
Rh -4.744 -4.120 1.653
Rh -8.855 -2.273 14.494
Rh -2.789 -1.097 2.954
Rh -2.265 -1.299 -0.096
Rh -3.557 -0.535 8.317
Rh -5.922 -3.192 10.102
Rh -7.564 -3.037 6.082
Rh -6.639 -1.179 8.136
Rh -5.199 -0.380 4.296
Er -8.651 -3.701 8.774
Er -5.033 -1.104 1.116
Er -2.470 0.128 5.624
Er -6.087 -2.468 13.283
CELL_PARAMETERS angstrom
-3.308 2.454 -0.731
-3.638 -5.255 -1.180
-4.175 -0.772 16.309
```

* size of the total moment: 0.0 μB/f.u.



#B
Compound: ErAs2Rh4
Source: Alexandria
Functional: PBE
Structure: relaxed Values from VASP.

The structure in Quantum ESPRESSO input format:
```
&SYSTEM
  ibrav = 0, nat = 14, ntyp = 3
/
ATOMIC_SPECIES
Rh 102.91 Rh.upf
As 74.92 As.upf
Er 167.26 Er.upf
ATOMIC_POSITIONS angstrom
Rh 1.923 4.432 1.331
Rh 1.923 3.305 6.406
Rh 0.000 0.564 2.537
Rh 0.000 7.173 5.200
Rh 1.923 1.331 4.432
Rh 0.000 2.537 0.564
Rh 1.923 6.406 3.305
Rh 0.000 5.200 7.173
As 0.000 1.780 5.956
As 0.000 5.956 1.780
As 1.923 2.088 2.088
As 1.923 5.649 5.649
Er 0.000 3.868 3.868
Er 1.923 0.000 0.000
CELL_PARAMETERS angstrom
3.846 0.000 0.000
0.000 7.737 0.000
0.000 0.000 7.737
```

* size of the total moment: 0.0 μB/f.u.



Which structure loses on stability? #A does.



#A
Compound: Er3As2S
Source: Alexandria
Functional: PBE
Structure: relaxed Values from VASP.

The structure in Quantum ESPRESSO input format:
```
&SYSTEM
  ibrav = 0, nat = 6, ntyp = 3
/
ATOMIC_SPECIES
Er 167.26 Er.upf
S 32.06 S.upf
As 74.92 As.upf
ATOMIC_POSITIONS angstrom
Er -4.226 -2.913 1.382
Er -1.894 -2.290 -1.821
Er -1.156 -0.310 1.591
S -1.626 0.447 -1.096
As -3.948 -0.175 2.098
As -1.433 -3.049 0.875
CELL_PARAMETERS angstrom
-3.252 0.895 -2.192
-0.536 -5.474 -1.449
-1.594 1.355 6.615
```

* size of the total moment: 0.0 μB/f.u.



#B
Compound: Er3As2S
Source: Alexandria
Functional: PBE
Structure: relaxed Values from VASP.

The structure in Quantum ESPRESSO input format:
```
&SYSTEM
  ibrav = 0, nat = 12, ntyp = 3
/
ATOMIC_SPECIES
Er 167.26 Er.upf
S 32.06 S.upf
As 74.92 As.upf
ATOMIC_POSITIONS angstrom
Er -2.681 -0.537 3.652
Er -0.168 -4.117 1.957
Er -4.065 -3.674 1.733
Er -0.222 -3.344 6.736
Er -1.607 -6.482 4.817
Er -4.120 -2.901 6.512
S -2.464 -5.030 6.972
S -1.824 -1.988 1.497
As 0.637 -4.804 4.558
As -4.925 -2.215 3.911
As -2.395 -5.819 2.205
As -1.892 -1.200 6.264
CELL_PARAMETERS angstrom
-4.476 -3.376 0.494
5.020 -6.469 1.278
-2.657 4.467 6.455
```

* size of the total moment: 0.0 μB/f.u.



Which structure loses on stability? #B does.



#A
Compound: Er4Sb3As
Source: Alexandria
Functional: PBE
Structure: relaxed Values from VASP.

The structure in Quantum ESPRESSO input format:
```
&SYSTEM
  ibrav = 0, nat = 8, ntyp = 3
/
ATOMIC_SPECIES
Er 167.26 Er.upf
Sb 121.76 Sb.upf
As 74.92 As.upf
ATOMIC_POSITIONS angstrom
Er -4.793 -2.134 0.260
Er -1.834 -0.481 -2.368
Er -0.626 -2.776 1.049
Er -2.333 1.123 1.579
Sb -2.960 -1.653 2.628
Sb -2.460 -3.257 -1.319
Sb -4.167 0.642 -0.789
As 0.000 0.000 0.000
CELL_PARAMETERS angstrom
-4.667 2.246 3.158
-3.667 -0.962 -4.735
-1.253 -5.552 2.098
```

* size of the total moment: 0.0 μB/f.u.



#B
Compound: Er4Sb3As
Source: Alexandria
Functional: PBE
Structure: relaxed Values from VASP.

The structure in Quantum ESPRESSO input format:
```
&SYSTEM
  ibrav = 0, nat = 8, ntyp = 3
/
ATOMIC_SPECIES
Er 167.26 Er.upf
As 74.92 As.upf
Sb 121.76 Sb.upf
ATOMIC_POSITIONS angstrom
Er 0.000 1.660 1.198
Er 2.139 1.667 5.037
Er 2.139 5.305 -0.005
Er 0.000 5.313 3.833
As 2.139 0.000 0.000
Sb 2.139 3.486 2.516
Sb 0.000 -0.031 3.716
Sb 0.000 3.517 -1.201
CELL_PARAMETERS angstrom
4.277 0.000 0.000
0.000 7.034 -2.401
0.000 -0.061 7.433
```

* size of the total moment: 0.0 μB/f.u.



Which structure loses on stability? #A does.



#A
Compound: ErScAs2
Source: Alexandria
Functional: PBE
Structure: relaxed Values from VASP.

The structure in Quantum ESPRESSO input format:
```
&SYSTEM
  ibrav = 0, nat = 4, ntyp = 3
/
ATOMIC_SPECIES
Sc 44.96 Sc.upf
Er 167.26 Er.upf
As 74.92 As.upf
ATOMIC_POSITIONS angstrom
Sc 3.987 -0.002 -0.004
Er -1.992 1.150 3.249
As 0.003 -0.002 4.951
As 0.001 2.301 1.542
CELL_PARAMETERS angstrom
3.987 -0.002 -0.004
-1.994 3.452 0.004
-1.989 -1.152 6.493
```

* size of the total moment: 0.0 μB/f.u.



#B
Compound: ErScAs2
Source: Alexandria
Functional: PBE
Structure: relaxed Values from VASP.

The structure in Quantum ESPRESSO input format:
```
&SYSTEM
  ibrav = 0, nat = 4, ntyp = 3
/
ATOMIC_SPECIES
As 74.92 As.upf
Er 167.26 Er.upf
Sc 44.96 Sc.upf
ATOMIC_POSITIONS angstrom
As 1.979 1.142 1.743
As 1.979 1.142 5.020
Er 5.936 3.427 6.712
Sc 3.958 2.285 3.424
CELL_PARAMETERS angstrom
3.958 0.000 0.000
1.979 3.427 0.000
1.979 1.142 6.760
```

* size of the total moment: 0.0 μB/f.u.



Which structure loses on stability? #B does.



#A
Compound: ErSc2As
Source: Alexandria
Functional: PBE
Structure: relaxed Values from VASP.

The structure in Quantum ESPRESSO input format:
```
&SYSTEM
  ibrav = 0, nat = 8, ntyp = 3
/
ATOMIC_SPECIES
Sc 44.96 Sc.upf
As 74.92 As.upf
Er 167.26 Er.upf
ATOMIC_POSITIONS angstrom
Sc -9.126 1.074 0.772
Sc -1.210 -1.116 0.214
Sc -3.900 0.642 1.223
Sc -6.436 -0.684 -0.237
As -6.670 0.866 2.062
As -3.666 -0.908 -1.076
Er -4.326 -3.044 0.884
Er -6.010 3.002 0.101
CELL_PARAMETERS angstrom
-1.082 0.464 -3.696
-2.440 -4.957 2.127
-6.814 4.450 2.555
```

* size of the total moment: 0.0 μB/f.u.



#B
Compound: ErSc2As
Source: Alexandria
Functional: PBE
Structure: relaxed Values from VASP.

The structure in Quantum ESPRESSO input format:
```
&SYSTEM
  ibrav = 0, nat = 4, ntyp = 3
/
ATOMIC_SPECIES
Sc 44.96 Sc.upf
As 74.92 As.upf
Er 167.26 Er.upf
ATOMIC_POSITIONS angstrom
Sc 5.488 3.168 7.269
Sc 1.829 1.056 1.607
As 0.000 0.000 0.000
Er 3.658 2.112 4.438
CELL_PARAMETERS angstrom
3.658 0.000 0.000
1.829 3.168 0.000
1.829 1.056 8.876
```

* size of the total moment: 0.7 μB/f.u.



Which structure loses on stability? #B does.



#A
Compound: SmErAs2
Source: Alexandria
Functional: PBE
Structure: relaxed Values from VASP.

The structure in Quantum ESPRESSO input format:
```
&SYSTEM
  ibrav = 0, nat = 4, ntyp = 3
/
ATOMIC_SPECIES
Er 167.26 Er.upf
As 74.92 As.upf
Sm 150.36 Sm.upf
ATOMIC_POSITIONS angstrom
Er -3.915 1.380 -0.081
As -0.951 -2.662 0.656
As -0.705 -1.723 4.782
Sm 1.130 -2.883 2.760
CELL_PARAMETERS angstrom
-3.915 1.380 -0.081
0.868 -3.859 -1.262
1.391 -1.906 6.781
```

* size of the total moment: 0.0 μB/f.u.



#B
Compound: SmErAs2
Source: Alexandria
Functional: PBE
Structure: relaxed Values from VASP.

The structure in Quantum ESPRESSO input format:
```
&SYSTEM
  ibrav = 0, nat = 4, ntyp = 3
/
ATOMIC_SPECIES
As 74.92 As.upf
Er 167.26 Er.upf
Sm 150.36 Sm.upf
ATOMIC_POSITIONS angstrom
As 2.057 1.188 1.798
As 2.057 1.188 5.268
Er 4.114 2.375 3.576
Sm 6.171 3.563 7.006
CELL_PARAMETERS angstrom
4.114 0.000 0.000
2.057 3.563 0.000
2.057 1.188 7.059
```

* size of the total moment: 0.0 μB/f.u.



Which structure loses on stability? #B does.



#A
Compound: Er3Te2As
Source: Alexandria
Functional: PBE
Structure: relaxed Values from VASP.

The structure in Quantum ESPRESSO input format:
```
&SYSTEM
  ibrav = 0, nat = 12, ntyp = 3
/
ATOMIC_SPECIES
Er 167.26 Er.upf
Te 127.60 Te.upf
As 74.92 As.upf
ATOMIC_POSITIONS angstrom
Er 0.483 1.295 6.463
Er -0.614 -1.345 9.950
Er -1.078 0.500 2.774
Er -3.778 0.552 8.170
Er 1.762 2.455 10.184
Er -1.893 -2.505 6.229
Te -2.428 0.526 5.472
Te 0.889 -1.651 7.154
Te -1.020 1.601 9.259
Te 0.000 0.000 0.000
As 1.495 1.018 3.831
As 2.940 2.070 7.636
CELL_PARAMETERS angstrom
-0.291 4.190 5.999
-4.566 -3.138 4.946
4.726 -1.102 5.469
```

* size of the total moment: 0.0 μB/f.u.



#B
Compound: Er3Te2As
Source: Alexandria
Functional: PBE
Structure: relaxed Values from VASP.

The structure in Quantum ESPRESSO input format:
```
&SYSTEM
  ibrav = 0, nat = 6, ntyp = 3
/
ATOMIC_SPECIES
Er 167.26 Er.upf
Te 127.60 Te.upf
As 74.92 As.upf
ATOMIC_POSITIONS angstrom
Er 1.055 1.363 3.306
Er 4.688 2.213 1.625
Er 1.719 -2.514 2.177
Te 2.814 3.898 3.266
Te 3.593 -4.200 0.536
As 3.204 -0.151 1.901
CELL_PARAMETERS angstrom
-0.410 -3.134 2.750
4.298 -3.027 -2.810
2.519 5.860 3.862
```

* size of the total moment: 0.0 μB/f.u.



Which structure loses on stability? #B does.



#A
Compound: ErTiAs2
Source: Alexandria
Functional: PBE
Structure: relaxed Values from VASP.

The structure in Quantum ESPRESSO input format:
```
&SYSTEM
  ibrav = 0, nat = 4, ntyp = 3
/
ATOMIC_SPECIES
As 74.92 As.upf
Er 167.26 Er.upf
Ti 47.87 Ti.upf
ATOMIC_POSITIONS angstrom
As -1.955 -0.718 1.624
As -6.218 -1.715 5.223
Er -4.087 -1.216 3.424
Ti 0.000 0.000 0.000
CELL_PARAMETERS angstrom
-3.062 -2.339 -0.144
-0.541 -2.639 2.759
-4.571 2.545 4.232
```

* size of the total moment: 0.1 μB/f.u.



#B
Compound: ErTiAs2
Source: Alexandria
Functional: PBE
Structure: relaxed Values from VASP.

The structure in Quantum ESPRESSO input format:
```
&SYSTEM
  ibrav = 0, nat = 4, ntyp = 3
/
ATOMIC_SPECIES
As 74.92 As.upf
Ti 47.87 Ti.upf
Er 167.26 Er.upf
ATOMIC_POSITIONS angstrom
As -3.092 -3.517 3.089
As -1.289 -2.296 0.088
Ti -4.915 -7.597 2.007
Er -2.801 -4.743 0.547
CELL_PARAMETERS angstrom
-2.458 -1.859 -2.232
0.711 -3.592 -1.034
-3.791 -3.990 4.253
```

* size of the total moment: 0.0 μB/f.u.



Which structure loses on stability? #B does.



#A
Compound: Er2TlAs
Source: Alexandria
Functional: PBE
Structure: relaxed Values from VASP.

The structure in Quantum ESPRESSO input format:
```
&SYSTEM
  ibrav = 0, nat = 4, ntyp = 3
/
ATOMIC_SPECIES
Er 167.26 Er.upf
Tl 204.38 Tl.upf
As 74.92 As.upf
ATOMIC_POSITIONS angstrom
Er -1.048 -4.920 4.658
Er -1.641 -0.917 2.101
Tl -3.198 -2.424 4.582
As -4.544 -5.316 7.942
CELL_PARAMETERS angstrom
-1.678 1.723 3.091
-3.875 -0.248 0.515
-0.841 -6.316 5.549
```

* size of the total moment: 0.0 μB/f.u.



#B
Compound: Er2TlAs
Source: Alexandria
Functional: PBE
Structure: relaxed Values from VASP.

The structure in Quantum ESPRESSO input format:
```
&SYSTEM
  ibrav = 0, nat = 4, ntyp = 3
/
ATOMIC_SPECIES
Er 167.26 Er.upf
Tl 204.38 Tl.upf
As 74.92 As.upf
ATOMIC_POSITIONS angstrom
Er 3.337 -0.355 4.920
Er 0.160 0.343 2.530
Tl 0.665 -1.850 0.207
As 2.807 1.318 2.705
CELL_PARAMETERS angstrom
-2.117 -2.648 2.040
3.446 -1.052 -1.626
2.167 3.688 7.036
```

* size of the total moment: 0.0 μB/f.u.



Which structure loses on stability? #A does.



#A
Compound: ErUAs2
Source: Alexandria
Functional: PBE
Structure: relaxed Values from VASP.

The structure in Quantum ESPRESSO input format:
```
&SYSTEM
  ibrav = 0, nat = 4, ntyp = 3
/
ATOMIC_SPECIES
Er 167.26 Er.upf
As 74.92 As.upf
U 238.03 U.upf
ATOMIC_POSITIONS angstrom
Er -6.156 -4.914 6.001
As -1.829 -1.716 1.424
As -3.150 -1.252 4.839
U -3.703 -3.417 2.964
CELL_PARAMETERS angstrom
-3.330 -1.881 -1.033
-0.270 -3.930 0.429
-3.775 -1.033 6.453
```

* size of the total moment: 2.9 μB/f.u.



#B
Compound: ErUAs2
Source: Alexandria
Functional: PBE
Structure: relaxed Values from VASP.

The structure in Quantum ESPRESSO input format:
```
&SYSTEM
  ibrav = 0, nat = 4, ntyp = 3
/
ATOMIC_SPECIES
U 238.03 U.upf
As 74.92 As.upf
Er 167.26 Er.upf
ATOMIC_POSITIONS angstrom
U 0.000 0.000 0.000
As -0.874 2.263 8.306
As -0.296 0.763 2.772
Er -0.585 1.513 5.539
CELL_PARAMETERS angstrom
-0.917 -1.988 3.410
2.504 0.172 3.181
-2.757 4.841 4.488
```

* size of the total moment: 2.5 μB/f.u.



Which structure loses on stability? #A does.



#A
Compound: Eu3As
Source: Alexandria
Functional: PBE
Structure: relaxed Values from VASP.

The structure in Quantum ESPRESSO input format:
```
&SYSTEM
  ibrav = 0, nat = 4, ntyp = 2
/
ATOMIC_SPECIES
Eu 151.96 Eu.upf
As 74.92 As.upf
ATOMIC_POSITIONS angstrom
Eu -0.283 -3.736 -0.310
Eu -2.702 -2.122 1.532
Eu -2.462 -1.559 -1.876
As -0.040 -0.332 0.239
CELL_PARAMETERS angstrom
-4.840 0.390 -0.276
-0.004 -2.847 -3.952
-0.482 -3.968 2.859
```

* size of the total moment: 22.4 μB/f.u.



#B
Compound: Eu3As
Source: Alexandria
Functional: PBE
Structure: relaxed Values from VASP.

The structure in Quantum ESPRESSO input format:
```
&SYSTEM
  ibrav = 0, nat = 4, ntyp = 2
/
ATOMIC_SPECIES
Eu 151.96 Eu.upf
As 74.92 As.upf
ATOMIC_POSITIONS angstrom
Eu 1.996 2.232 0.000
Eu 0.000 2.233 4.014
Eu 1.996 -0.446 2.310
As 0.000 4.911 0.000
CELL_PARAMETERS angstrom
3.992 0.000 0.000
0.000 5.358 0.000
-1.996 -2.679 6.324
```

* size of the total moment: 22.4 μB/f.u.



Which structure loses on stability? #A does.